CsRb2Ca: optimized geometry, PBE-GGA.

Output
Polymorph energy (0 for the lowest one) ... 11 meV per atom
Energy ... -1.03 eV per atom
Formation energy from the elements ... 0.17 eV per atom
M_tot ... 0.00 μB/f.u.
D(E_F) ... 1.073 states/eV per atom
SG ... No. 160

a = 4.6909 Å, b = 4.6909 Å, c = 48.6480 Å
α = 90.00°, β = 90.00°, γ = 120.00°
Element x y z (fractional)
1 Cs 0.0000 0.0000 0.0000
2 Cs 0.3333 0.6667 0.6667
3 Cs 0.6667 0.3333 0.3333
4 Rb 0.0000 0.0000 0.2404
5 Rb 0.0000 0.0000 0.4266
6 Rb 0.3333 0.6667 0.0933
7 Rb 0.3333 0.6667 0.9070
8 Rb 0.6667 0.3333 0.5737
9 Rb 0.6667 0.3333 0.7599
10 Ca 0.0000 0.0000 0.8335
11 Ca 0.3333 0.6667 0.5002
12 Ca 0.6667 0.3333 0.1669



PrY2Ho: optimized geometry, PBE-GGA.

Output
Polymorph energy (0 for the lowest one) ... 104 meV per atom
Energy ... -5.45 eV per atom
Formation energy from the elements ... 0.12 eV per atom
M_tot ... 0.00 μB/f.u.
D(E_F) ... 1.896 states/eV per atom
SG ... No. 225

a = 8.1039 Å, b = 8.1039 Å, c = 8.1039 Å
α = 90.00°, β = 90.00°, γ = 90.00°
Element x y z (fractional)
1 Pr 0.0000 0.0000 0.0000
2 Pr 0.0000 0.5000 0.5000
3 Pr 0.5000 0.0000 0.5000
4 Pr 0.5000 0.5000 0.0000
5 Y 0.2500 0.2500 0.2500
6 Y 0.2500 0.2500 0.7500
7 Y 0.2500 0.7500 0.2500
8 Y 0.2500 0.7500 0.7500
9 Y 0.7500 0.2500 0.2500
10 Y 0.7500 0.2500 0.7500
11 Y 0.7500 0.7500 0.2500
12 Y 0.7500 0.7500 0.7500
13 Ho 0.0000 0.0000 0.5000
14 Ho 0.0000 0.5000 0.0000
15 Ho 0.5000 0.0000 0.0000
16 Ho 0.5000 0.5000 0.5000